Material: CsRbBeO2
Method: DFT, PBE
State: optimized geometry

It has space group P4/mmm (No. 123), with a = 4.809 Å, b = 4.809 Å, c = 5.694 Å, α = 90.00°, β = 90.00° and γ = 90.00°. Symmetry generates all atoms from Cs at (0.000, 0.000, 0.000), Rb at (0.500, 0.500, 0.500), Be at (0.000, 0.000, 0.500) and O at (0.000, 0.500, 0.000).

Its energy is -2.518 eV per atom. The value obtained for the formation energy without anion corrections is 55.5 kJ/mol of atoms. For the total moment, the calculation gives 0.0 μB per formula unit. As for the crystal system: tetragonal. The energy above the most stable polymorph in this dataset comes out at 2258.5 meV/atom.